A relaxed YHo2Pd crystal. Source: Alexandria via LeMat-Bulk, functional GGA-PBE.

The structure in POSCAR format:
```
YHo2Pd
1.0
-1.297 -3.482 0.215
1.864 -2.563 1.952
-4.763 0.310 8.506
Y Ho Pd
1 2 1
Direct
0.501 0.501 0.497
0.065 0.065 0.805
0.268 0.268 0.196
0.666 0.666 0.001
```

A relaxed PrNd2Rh crystal. Source: Alexandria via LeMat-Bulk, functional GGA-PBE.

The structure in POSCAR format:
```
PrNd2Rh
1.0
3.917 -0.157 0.000
-1.717 6.190 0.000
0.000 0.000 9.975
Rh Nd Pr
2 4 2
Direct
0.734 0.468 0.250
0.266 0.532 0.750
0.860 0.720 0.568
0.860 0.720 0.932
0.140 0.280 0.432
0.140 0.280 0.068
0.582 0.163 0.750
0.418 0.837 0.250
```

A relaxed TlVAs3 crystal. Source: Alexandria via LeMat-Bulk, functional GGA-PBE.

The structure in POSCAR format:
```
TlVAs3
1.0
-4.763 0.770 -0.428
-0.771 -2.509 4.071
0.425 4.071 2.589
V As Tl
1 3 1
Direct
0.000 0.000 0.000
0.500 0.000 0.000
0.000 0.000 0.500
0.000 0.500 0.000
0.500 0.500 0.500
```

What did we get for energy relative to the lowest polymorph listed for this composition? Answer: 172, 29, 0 meV per atom, in the order shown.